1.
A relaxed structure of Na2HgI4, computed with PBE.

Structure (POSCAR):
```
Na2HgI4
1.0
7.758 -2.468 0.000
7.758 2.468 0.000
-2.884 0.000 7.149
Na Hg I
2 1 4
direct
0.237 0.237 0.232
0.763 0.763 0.768
0.500 0.500 0.500
0.137 0.137 0.791
0.382 0.382 0.689
0.618 0.618 0.311
0.863 0.863 0.209
```

V = 273.75 Å³/f.u.
Total DFT energy (no corrections) = -0.077 Ha/atom
Energy above the lowest structure with this stoichiometry = 37 meV per atom
Uncorrected formation energy = -786 meV per atom
Crystal system = monoclinic
Spin magnetization = 0.00 μB per formula unit

=====

2.
A relaxed structure of Na3HgI, computed with PBE.

Structure (POSCAR):
```
Na3HgI
1.0
6.067 0.000 0.000
0.000 6.067 0.000
0.000 0.000 6.067
Na Hg I
3 1 1
direct
0.000 0.000 0.500
0.000 0.500 0.000
0.500 0.000 0.000
0.500 0.500 0.500
0.000 0.000 0.000
```

V = 223.30 Å³/f.u.
Total DFT energy (no corrections) = -0.053 Ha/atom
Energy above the lowest structure with this stoichiometry = 0 meV per atom
Uncorrected formation energy = -292 meV per atom
Crystal system = cubic
Spin magnetization = 0.00 μB per formula unit

=====

3.
A relaxed structure of Na2HgI, computed with PBE.

Structure (POSCAR):
```
Na2HgI
1.0
2.467 1.425 8.769
-2.467 1.425 8.769
0.000 -2.849 8.769
Na Hg I
2 1 1
direct
0.108 0.108 0.108
0.892 0.892 0.892
0.500 0.500 0.500
0.000 0.000 0.000
```

V = 184.94 Å³/f.u.
Total DFT energy (no corrections) = -0.056 Ha/atom
Energy above the lowest structure with this stoichiometry = 246 meV per atom
Uncorrected formation energy = -390 meV per atom
Crystal system = trigonal
Spin magnetization = 0.00 μB per formula unit

=====

4.
A relaxed structure of Na2HgI4, computed with PBE.

Structure (POSCAR):
```
Na2HgI4
1.0
-3.052 3.052 7.941
3.052 -3.052 7.941
3.052 3.052 -7.941
Na Hg I
2 1 4
direct
0.123 0.123 0.000
0.877 0.877 0.000
0.500 0.500 0.000
0.000 0.500 0.500
0.316 0.316 0.000
0.500 0.000 0.500
0.684 0.684 0.000
```

V = 295.94 Å³/f.u.
Total DFT energy (no corrections) = -0.072 Ha/atom
Energy above the lowest structure with this stoichiometry = 160 meV per atom
Uncorrected formation energy = -663 meV per atom
Crystal system = tetragonal
Spin magnetization = 0.00 μB per formula unit

=====

5.
A relaxed structure of NaHg2I5, computed with PBE.

Structure (POSCAR):
```
NaHg2I5
1.0
2.296 -10.161 0.000
2.296 10.161 0.000
0.000 0.000 16.816
Na Hg I
2 4 10
direct
0.151 0.849 0.750
0.849 0.151 0.250
0.102 0.898 0.027
0.102 0.898 0.473
0.898 0.102 0.527
0.898 0.102 0.973
0.036 0.964 0.619
0.036 0.964 0.881
0.257 0.743 0.250
0.338 0.662 0.593
0.338 0.662 0.907
0.662 0.338 0.093
0.662 0.338 0.407
0.743 0.257 0.750
0.964 0.036 0.119
0.964 0.036 0.381
```

V = 392.25 Å³/f.u.
Total DFT energy (no corrections) = -0.061 Ha/atom
Energy above the lowest structure with this stoichiometry = 44 meV per atom
Uncorrected formation energy = -459 meV per atom
Crystal system = orthorhombic
Spin magnetization = 0.00 μB per formula unit

=====

6.
A relaxed structure of NaHg4I, computed with PBE.

Structure (POSCAR):
```
NaHg4I
1.0
0.000 4.628 4.628
4.628 0.000 4.628
4.628 4.628 0.000
Na Hg I
1 4 1
direct
0.000 0.000 0.000
0.126 0.625 0.625
0.625 0.126 0.625
0.625 0.625 0.126
0.625 0.625 0.625
0.250 0.250 0.250
```

V = 198.20 Å³/f.u.
Total DFT energy (no corrections) = -0.034 Ha/atom
Uncorrected formation energy = -233 meV per atom
Crystal system = cubic
Spin magnetization = 0.00 μB per formula unit

=====

7.
A relaxed structure of NaHg3I, computed with PBE.

Structure (POSCAR):
```
NaHg3I
1.0
5.837 0.000 0.000
0.000 5.837 0.000
0.000 0.000 5.837
Na Hg I
1 3 1
direct
0.000 0.000 0.000
0.000 0.000 0.500
0.000 0.500 0.000
0.500 0.000 0.000
0.500 0.500 0.500
```

V = 198.83 Å³/f.u.
Total DFT energy (no corrections) = -0.032 Ha/atom
Energy above the lowest structure with this stoichiometry = 0 meV per atom
Uncorrected formation energy = -129 meV per atom
Crystal system = cubic
Spin magnetization = 0.00 μB per formula unit

=====

8.
A relaxed structure of Na2HgI2, computed with PBE.

Structure (POSCAR):
```
Na2HgI2
1.0
5.358 0.000 0.000
0.000 5.904 0.000
-2.682 0.000 7.121
Na Hg I
2 1 2
direct
0.000 0.000 0.000
0.455 0.500 0.914
0.780 0.500 0.564
0.073 0.500 0.149
0.389 0.000 0.781
```

V = 225.24 Å³/f.u.
Total DFT energy (no corrections) = -0.078 Ha/atom
Energy above the lowest structure with this stoichiometry = 0 meV per atom
Uncorrected formation energy = -918 meV per atom
Crystal system = monoclinic
Spin magnetization = 0.00 μB per formula unit

=====

9.
A relaxed structure of Na2HgI2, computed with PBE.

Structure (POSCAR):
```
Na2HgI2
1.0
9.003 0.000 0.000
0.000 9.003 0.000
0.000 0.000 4.189
Na Hg I
4 2 4
direct
0.147 0.353 0.000
0.353 0.853 0.000
0.647 0.147 0.000
0.853 0.647 0.000
0.000 0.000 0.000
0.500 0.500 0.000
0.157 0.657 0.500
0.343 0.157 0.500
0.657 0.843 0.500
0.843 0.343 0.500
```

V = 169.73 Å³/f.u.
Total DFT energy (no corrections) = -0.078 Ha/atom
Energy above the lowest structure with this stoichiometry = 14 meV per atom
Uncorrected formation energy = -904 meV per atom
Crystal system = tetragonal
Spin magnetization = 0.00 μB per formula unit

=====

10.
A relaxed structure of Na2HgI, computed with PBE.

Structure (POSCAR):
```
Na2HgI
1.0
4.007 0.000 0.000
0.000 4.007 0.000
0.000 0.000 7.466
Na Hg I
2 1 1
direct
0.000 0.000 0.243
0.000 0.000 0.757
0.500 0.500 0.000
0.500 0.500 0.500
```

V = 119.90 Å³/f.u.
Total DFT energy (no corrections) = -0.065 Ha/atom
Energy above the lowest structure with this stoichiometry = 0 meV per atom
Uncorrected formation energy = -636 meV per atom
Crystal system = tetragonal
Spin magnetization = 0.00 μB per formula unit

=====

11.
A relaxed structure of NaHg2I5, computed with PBE.

Structure (POSCAR):
```
NaHg2I5
1.0
6.544 0.000 0.000
3.019 7.241 0.000
3.083 -0.026 7.512
Na Hg I
1 2 5
direct
0.000 0.000 0.000
0.394 0.149 0.336
0.596 0.571 0.525
0.208 0.611 0.829
0.475 0.015 0.009
0.623 0.427 0.210
0.788 0.858 0.434
0.980 0.251 0.630
```

V = 355.91 Å³/f.u.
Total DFT energy (no corrections) = -0.063 Ha/atom
Energy above the lowest structure with this stoichiometry = 0 meV per atom
Uncorrected formation energy = -503 meV per atom
Crystal system = triclinic
Spin magnetization = 0.00 μB per formula unit

=====

12.
A relaxed structure of Na4HgI4, computed with PBE.

Structure (POSCAR):
```
Na4HgI4
1.0
-5.392 5.392 3.229
5.392 -5.392 3.229
5.392 5.392 -3.229
Na Hg I
4 1 4
direct
0.133 0.346 0.479
0.346 0.867 0.213
0.654 0.133 0.787
0.867 0.654 0.521
0.000 0.000 0.000
0.163 0.639 0.802
0.361 0.163 0.524
0.639 0.837 0.476
0.837 0.361 0.198
```

V = 375.51 Å³/f.u.
Total DFT energy (no corrections) = -0.088 Ha/atom
Uncorrected formation energy = -1073 meV per atom
Crystal system = tetragonal
Spin magnetization = 0.00 μB per formula unit

=====

13.
A relaxed structure of Na2HgI5, computed with PBE.

Structure (POSCAR):
```
Na2HgI5
1.0
3.229 -7.795 0.000
3.229 7.795 0.000
0.000 0.000 13.173
Na Hg I
4 2 10
direct
0.175 0.825 0.576
0.175 0.825 0.924
0.825 0.175 0.076
0.825 0.175 0.424
0.200 0.800 0.250
0.800 0.200 0.750
0.030 0.970 0.118
0.030 0.970 0.382
0.309 0.691 0.750
0.322 0.678 0.085
0.322 0.678 0.415
0.678 0.322 0.585
0.678 0.322 0.915
0.691 0.309 0.250
0.970 0.030 0.618
0.970 0.030 0.882
```

V = 331.57 Å³/f.u.
Total DFT energy (no corrections) = -0.073 Ha/atom
Uncorrected formation energy = -650 meV per atom
Crystal system = orthorhombic
Spin magnetization = 0.00 μB per formula unit

=====

14.
A relaxed structure of Na2HgI, computed with PBE.

Structure (POSCAR):
```
Na2HgI
1.0
-2.862 2.862 9.609
2.862 -2.862 9.609
2.862 2.862 -9.609
Na Hg I
4 2 2
direct
0.113 0.625 0.988
0.375 0.363 0.488
0.637 0.125 0.012
0.875 0.887 0.512
0.000 0.000 0.000
0.750 0.250 0.500
0.250 0.750 0.500
0.500 0.500 0.000
```

V = 157.42 Å³/f.u.
Total DFT energy (no corrections) = -0.059 Ha/atom
Energy above the lowest structure with this stoichiometry = 142 meV per atom
Uncorrected formation energy = -494 meV per atom
Crystal system = tetragonal
Spin magnetization = 0.00 μB per formula unit

=====

15.
A relaxed structure of NaHg2I6, computed with PBE.

Structure (POSCAR):
```
NaHg2I6
1.0
7.200 -7.048 0.000
7.200 7.048 0.000
-1.455 0.000 7.675
Na Hg I
2 4 12
direct
0.115 0.885 0.750
0.885 0.115 0.250
0.227 0.394 0.726
0.394 0.227 0.226
0.606 0.773 0.774
0.773 0.606 0.274
0.035 0.186 0.654
0.146 0.620 0.936
0.186 0.035 0.154
0.281 0.467 0.398
0.380 0.854 0.564
0.467 0.281 0.898
0.533 0.719 0.102
0.620 0.146 0.436
0.719 0.533 0.602
0.814 0.965 0.846
0.854 0.380 0.064
0.965 0.814 0.346
```

V = 389.44 Å³/f.u.
Total DFT energy (no corrections) = -0.060 Ha/atom
Uncorrected formation energy = -382 meV per atom
Crystal system = monoclinic
Spin magnetization = 0.00 μB per formula unit

=====

16.
A relaxed structure of NaHgI2, computed with PBE.

Structure (POSCAR):
```
NaHgI2
1.0
-3.427 3.427 8.028
3.427 -3.427 8.028
3.427 3.427 -8.028
Na Hg I
2 2 4
direct
0.000 0.000 0.000
0.750 0.250 0.500
0.250 0.750 0.500
0.500 0.500 0.000
0.129 0.625 0.004
0.375 0.379 0.504
0.621 0.125 0.996
0.875 0.871 0.496
```

V = 188.52 Å³/f.u.
Total DFT energy (no corrections) = -0.065 Ha/atom
Energy above the lowest structure with this stoichiometry = 0 meV per atom
Uncorrected formation energy = -585 meV per atom
Crystal system = tetragonal
Spin magnetization = 0.00 μB per formula unit

=====

17.
A relaxed structure of Na3HgI, computed with PBE.

Structure (POSCAR):
```
Na3HgI
1.0
5.837 0.000 0.000
0.000 5.837 0.000
0.000 0.000 5.837
Na Hg I
3 1 1
direct
0.000 0.000 0.500
0.000 0.500 0.000
0.500 0.000 0.000
0.000 0.000 0.000
0.500 0.500 0.500
```

V = 198.91 Å³/f.u.
Total DFT energy (no corrections) = -0.052 Ha/atom
Energy above the lowest structure with this stoichiometry = 43 meV per atom
Uncorrected formation energy = -249 meV per atom
Crystal system = cubic
Spin magnetization = 0.00 μB per formula unit

=====

18.
A relaxed structure of NaHg2I2, computed with PBE.

Structure (POSCAR):
```
NaHg2I2
1.0
8.773 0.000 0.000
0.000 8.773 0.000
0.000 0.000 5.888
Na Hg I
2 4 4
direct
0.000 0.000 0.000
0.500 0.500 0.000
0.115 0.385 0.500
0.385 0.885 0.500
0.615 0.115 0.500
0.885 0.615 0.500
0.208 0.292 0.000
0.292 0.792 0.000
0.708 0.208 0.000
0.792 0.708 0.000
```

V = 226.59 Å³/f.u.
Total DFT energy (no corrections) = -0.053 Ha/atom
Energy above the lowest structure with this stoichiometry = 0 meV per atom
Uncorrected formation energy = -434 meV per atom
Crystal system = tetragonal
Spin magnetization = 0.00 μB per formula unit

=====

19.
A relaxed structure of Na2HgI, computed with PBE.

Structure (POSCAR):
```
Na2HgI
1.0
0.000 3.988 3.988
3.988 0.000 3.988
3.988 3.988 0.000
Na Hg I
2 1 1
direct
0.250 0.250 0.250
0.750 0.750 0.750
0.000 0.000 0.000
0.500 0.500 0.500
```

V = 126.85 Å³/f.u.
Total DFT energy (no corrections) = -0.061 Ha/atom
Energy above the lowest structure with this stoichiometry = 98 meV per atom
Uncorrected formation energy = -538 meV per atom
Crystal system = cubic
Spin magnetization = 0.00 μB per formula unit

=====

20.
A relaxed structure of Na6HgI8, computed with PBE.

Structure (POSCAR):
```
Na6HgI8
1.0
6.276 3.624 5.425
-6.276 3.624 5.425
0.000 -7.247 5.425
Na Hg I
6 1 8
direct
0.161 0.440 0.648
0.352 0.839 0.560
0.440 0.648 0.161
0.560 0.352 0.839
0.648 0.161 0.440
0.839 0.560 0.352
0.000 0.000 0.000
0.161 0.161 0.161
0.161 0.652 0.366
0.348 0.634 0.839
0.366 0.161 0.652
0.634 0.839 0.348
0.652 0.366 0.161
0.839 0.348 0.634
0.839 0.839 0.839
```

V = 740.29 Å³/f.u.
Total DFT energy (no corrections) = -0.087 Ha/atom
Uncorrected formation energy = -995 meV per atom
Crystal system = trigonal
Spin magnetization = 0.00 μB per formula unit